Record 1
A geometry-optimized SrBi4Pt4 structure. Source: Alexandria via LeMat-Bulk, functional GGA-PBE.

a b c (Å): 9.3726 9.3726 5.5958
angles (deg): 90.00 90.00 90.00
Space group P4_2/n (No. 86, origin choice 2)
Asymmetric unit:
Sr 0.2500 0.2500 0.2500 [2 per cell]
Bi 0.1020 0.6303 0.1517 [8 per cell]
Pt 0.0472 0.6102 0.6511 [8 per cell]

## Properties
**Size of the total moment**: 0.0 μB per formula unit
**Raw total energy**: -4.97 eV/atom
**Formation energy from the elements**: -0.37 eV per atom
**Theoretical density**: 11.51 Mg/m³

Record 2
A geometry-optimized SrBi4Pt2 structure. Source: Alexandria via LeMat-Bulk, functional GGA-PBE.

a b c (Å): 4.7378 18.2267 4.6328
angles (deg): 90.00 90.00 90.00
Space group Cmmm (No. 65)
Asymmetric unit:
Sr 0.0000 0.0000 0.0000 [2 per cell]
Bi 0.0000 0.1594 0.5000 [4 per cell]
Bi 0.0000 0.3332 0.0000 [4 per cell]
Pt 0.0000 0.4275 0.5000 [4 per cell]

## Properties
**Size of the total moment**: 0.0 μB per formula unit
**Energy above the most stable polymorph in this dataset**: 0.058 eV/atom
**Raw total energy**: -4.52 eV/atom
**Formation energy from the elements**: -0.34 eV per atom
**Theoretical density**: 10.91 Mg/m³

Record 3
A geometry-optimized Sr2Bi2Pt structure. Source: Alexandria via LeMat-Bulk, functional GGA-PBE.

a b c (Å): 11.9140 4.8486 12.2588
angles (deg): 90.00 118.10 90.00
Space group C2/m (No. 12)
Asymmetric unit:
Sr 0.0028 0.0000 0.3349 [4 per cell]
Sr 0.1843 0.0000 0.1249 [4 per cell]
Bi 0.0218 0.5000 0.8735 [4 per cell]
Bi 0.1605 0.5000 0.5495 [4 per cell]
Pt 0.2234 0.5000 0.3371 [4 per cell]

## Properties
**Size of the total moment**: 0.0 μB per formula unit
**Energy above the most stable polymorph in this dataset**: 0.000 eV/atom
**Raw total energy**: -4.19 eV/atom
**Formation energy from the elements**: -0.76 eV per atom
**Theoretical density**: 8.38 Mg/m³

Record 4
A geometry-optimized SrBiPt3 structure. Source: Alexandria via LeMat-Bulk, functional GGA-PBE.

a b c (Å): 5.2130 5.2130 5.2130
angles (deg): 90.00 90.00 90.00
Space group Pm-3m (No. 221)
Asymmetric unit:
Sr 0.0000 0.0000 0.0000 [1 per cell]
Bi 0.5000 0.5000 0.5000 [1 per cell]
Pt 0.0000 0.0000 0.5000 [3 per cell]

## Properties
**Size of the total moment**: 0.0 μB per formula unit
**Energy above the most stable polymorph in this dataset**: 1.106 eV/atom
**Raw total energy**: -3.55 eV/atom
**Formation energy from the elements**: 1.19 eV per atom
**Theoretical density**: 10.34 Mg/m³

Record 5
A geometry-optimized Sr3Bi4Pt2 structure. Source: Alexandria via LeMat-Bulk, functional GGA-PBE.

a b c (Å): 11.9955 4.7811 9.6651
angles (deg): 90.00 98.56 90.00
Space group C2/m (No. 12)
Asymmetric unit:
Sr 0.0000 0.0000 0.0000 [2 per cell]
Sr 0.1200 0.5000 0.6957 [4 per cell]
Bi 0.0907 0.0000 0.3734 [4 per cell]
Bi 0.2069 0.5000 0.1074 [4 per cell]
Pt 0.2125 0.5000 0.4165 [4 per cell]

## Properties
**Size of the total moment**: 0.0 μB per formula unit
**Energy above the most stable polymorph in this dataset**: 0.000 eV/atom
**Raw total energy**: -4.29 eV/atom
**Formation energy from the elements**: -0.67 eV per atom
**Theoretical density**: 9.02 Mg/m³

Record 6
A geometry-optimized Sr2BiPt2 structure. Source: Alexandria via LeMat-Bulk, functional GGA-PBE.

a b c (Å): 6.0282 6.0282 8.0730
angles (deg): 90.00 90.00 90.00
Space group I4/mmm (No. 139)
Asymmetric unit:
Sr 0.0000 0.5000 0.2500 [4 per cell]
Bi 0.0000 0.0000 0.0000 [2 per cell]
Pt 0.0000 0.0000 0.3427 [4 per cell]

## Properties
**Size of the total moment**: 0.0 μB per formula unit
**Energy above the most stable polymorph in this dataset**: 0.176 eV/atom
**Raw total energy**: -4.50 eV/atom
**Formation energy from the elements**: -0.64 eV per atom
**Theoretical density**: 8.77 Mg/m³

Record 7
A geometry-optimized SrBiPt5 structure. Source: Alexandria via LeMat-Bulk, functional GGA-PBE.

a b c (Å): 9.1710 5.4878 11.1497
angles (deg): 90.00 90.00 90.00
Space group Pnma (No. 62)
Asymmetric unit:
Sr 0.2497 0.2500 0.0623 [4 per cell]
Bi 0.1473 0.2500 0.3629 [4 per cell]
Pt 0.0437 0.2500 0.5922 [4 per cell]
Pt 0.0683 0.5010 0.8047 [8 per cell]
Pt 0.0763 0.7500 0.0122 [4 per cell]
Pt 0.1878 0.7500 0.2402 [4 per cell]

## Properties
**Size of the total moment**: 0.0 μB per formula unit
**Raw total energy**: -5.53 eV/atom
**Formation energy from the elements**: -0.42 eV per atom
**Theoretical density**: 15.06 Mg/m³

Record 8
A geometry-optimized Sr2BiPt structure. Source: Alexandria via LeMat-Bulk, functional GGA-PBE.

a b c (Å): 3.7360 3.7360 8.5857
angles (deg): 90.00 90.00 90.00
Space group P4/mmm (No. 123)
Asymmetric unit:
Sr 0.0000 0.0000 0.2099 [2 per cell]
Bi 0.5000 0.5000 0.5000 [1 per cell]
Pt 0.5000 0.5000 0.0000 [1 per cell]

## Properties
**Size of the total moment**: 0.0 μB per formula unit
**Raw total energy**: -4.09 eV/atom
**Formation energy from the elements**: -0.77 eV per atom
**Theoretical density**: 8.03 Mg/m³

- What is the size of the total moment in the third record?
  0.0 μB per formula unit

Please write out number 6 again, unchanged.
A geometry-optimized Sr2BiPt2 structure. Source: Alexandria via LeMat-Bulk, functional GGA-PBE.

a b c (Å): 6.0282 6.0282 8.0730
angles (deg): 90.00 90.00 90.00
Space group I4/mmm (No. 139)
Asymmetric unit:
Sr 0.0000 0.5000 0.2500 [4 per cell]
Bi 0.0000 0.0000 0.0000 [2 per cell]
Pt 0.0000 0.0000 0.3427 [4 per cell]

## Properties
**Size of the total moment**: 0.0 μB per formula unit
**Energy above the most stable polymorph in this dataset**: 0.176 eV/atom
**Raw total energy**: -4.50 eV/atom
**Formation energy from the elements**: -0.64 eV per atom
**Theoretical density**: 8.77 Mg/m³

- What is the formula in the third record?
  Sr2Bi2Pt

- Which of these has the highest formation energy from the elements?
  SrBiPt3